Record 1
{"formula": "MoBrCl2", "functional": "PBEsol", "state": "optimized geometry", "lattice_angstrom": [[-0.7992, 1.1996, 2.6098], [0.2727, -3.2793, -0.1121], [9.4793, 0.7000, 2.5812]], "species": ["Cl", "Cl", "Br", "Mo"], "fractional_positions": [[0.5000, 0.0000, 0.3061], [0.0000, 0.0000, 0.9965], [0.5000, 0.0000, 0.7016], [0.0000, 0.0000, 0.4959]], "dft_energy_ev_per_atom": -4.32}

Record 2
{"formula": "MoP2BrCl", "functional": "PBEsol", "state": "optimized geometry", "lattice_angstrom": [[-0.3067, -3.3581, -3.4629], [1.5294, -3.3150, 3.0793], [-4.5144, -0.9003, 1.2729]], "species": ["P", "P", "Mo", "Br", "Cl"], "fractional_positions": [[0.0000, 0.5000, 0.0000], [0.0000, 0.0000, 0.5000], [0.5000, 0.5000, 0.5000], [0.0000, 0.0000, 0.0000], [0.5000, 0.0000, 0.0000]], "dft_energy_ev_per_atom": -3.76}

Record 3
{"formula": "MoSeBr2Cl", "functional": "PBEsol", "state": "optimized geometry", "lattice_angstrom": [[-3.5571, 3.1344, 0.7721], [-1.1222, -0.0806, -4.8426], [-3.1470, -3.7664, 0.7919]], "species": ["Br", "Br", "Mo", "Cl", "Se"], "fractional_positions": [[0.0000, 0.0000, 0.5000], [0.0000, 0.5000, 0.0000], [0.0000, 0.0000, 0.0000], [0.5000, 0.5000, 0.5000], [0.5000, 0.0000, 0.0000]], "dft_energy_ev_per_atom": -4.27}

Record 4
{"formula": "MoSeBr2Cl", "functional": "PBEsol", "state": "optimized geometry", "lattice_angstrom": [[-2.9628, -1.3445, -3.9205], [-2.9105, -2.7560, 3.1448], [-2.8958, 3.9927, 0.8191]], "species": ["Br", "Br", "Cl", "Se", "Mo"], "fractional_positions": [[0.5000, 0.0000, 0.0000], [0.0000, 0.5000, 0.0000], [0.0000, 0.0000, 0.0000], [0.0000, 0.0000, 0.5000], [0.5000, 0.5000, 0.5000]], "dft_energy_ev_per_atom": -3.06}

Computed energy relative to the elements, uncorrected, in the same sequence as the records: 92; 1681; 1; 1213 meV/atom.
Computed theoretical density, in the same sequence as the records: 4.75; 4.12; 5.18; 4.74 Mg/m³.